DFT (PBE with a Hubbard U) results for a relaxed BeFeO2F crystal.

Total magnetic moment, μB/f.u.: 4.461
Total energy, eV per atom: -5.707

Cell: 3.5131 3.5131 3.4283 Å, 90.00 90.00 90.00°
Closest atoms and distances in Å follow each position.
Space group P4/mmm (No. 123)
Asymmetric unit:
1 Be 0.0000 0.0000 0.0000 (multiplicity 1)  2 F 1.71, 4 O 1.76
2 Fe 0.5000 0.5000 0.5000 (multiplicity 1)  8 O 2.45, 4 F 2.48
3 O 0.0000 0.5000 0.0000 (multiplicity 2)  2 Be 1.76
4 F 0.0000 0.0000 0.5000 (multiplicity 1)  2 Be 1.71